# PBE+U CoPbSO, relaxed
data_CoPbSO
_chemical_formula_sum 'Co2 Pb2 S2 O2'
_cell_length_a 4.075
_cell_length_b 4.075
_cell_length_c 8.400
_cell_angle_alpha 90.00
_cell_angle_beta 90.00
_cell_angle_gamma 90.00
_symmetry_space_group_name_H-M 'P 4/n m m'
_symmetry_Int_Tables_number 129
loop_
_symmetry_equiv_pos_as_xyz
'x,y,z'
'-x,-y,-z'
'-y+1/2,x,z'
'y+1/2,-x,-z'
'-x+1/2,-y+1/2,z'
'x+1/2,y+1/2,-z'
'y,-x+1/2,z'
'-y,x+1/2,-z'
'x+1/2,-y,-z'
'-x+1/2,y,z'
'-y,-x,-z'
'y,x,z'
'-x,y+1/2,-z'
'x,-y+1/2,z'
'y+1/2,x+1/2,-z'
'-y+1/2,-x+1/2,z'
loop_
_atom_site_label
_atom_site_fract_x
_atom_site_fract_y
_atom_site_fract_z
Co1 0.250 0.250 0.053
Pb1 0.250 0.250 0.687
S1 0.250 0.250 0.350
O1 0.250 0.750 0.000
# E   -5.100 eV per atom
# Size of the total moment   3.000 μB/f.u.